[1]
DFT (PBE-GGA) results for NiIr6Os2 after structural relaxation.

Computed properties:
Polymorph energy (0 for the lowest one), eV per atom: 0.000
Uncorrected energy, eV per atom: -9.029
Energy of formation, kJ per mole of atoms: 1.5
Density, g cm⁻³: 20.75

a b c (Å): 3.8320 4.7113 8.1467
angles (deg): 73.20 76.40 66.00
Atoms (fractional coordinates):
Ir1 0.6717 0.7151 0.9416
Ni1 0.0000 0.5000 0.5000
Ir2 0.3283 0.2849 0.0584
Ir3 0.0000 0.1709 0.8292
Os1 0.6690 0.3825 0.2796
Os2 0.3310 0.6175 0.7204
Ir4 0.6666 0.0601 0.6067
Ir5 0.0000 0.8291 0.1708
Ir6 0.3334 0.9399 0.3933


[2]
DFT (PBE-GGA) results for Li12Ca2AlAg3 after structural relaxation.

Computed properties:
Uncorrected energy, eV per atom: -2.214
Energy of formation, kJ per mole of atoms: -3.2
Density, g cm⁻³: 2.33

a b c (Å): 7.1828 7.1828 7.1828
angles (deg): 85.08 85.08 85.08
Atoms (fractional coordinates):
Li1 0.4253 0.8480 0.4253
Ag1 0.5000 0.0000 0.0000
Li2 0.1912 0.1912 0.7294
Ca1 0.7602 0.7602 0.7602
Li3 0.1520 0.5747 0.5747
Ca2 0.2398 0.2398 0.2398
Li4 0.8480 0.4253 0.4253
Li5 0.8088 0.8088 0.2706
Li6 0.5747 0.5747 0.1520
Li7 0.5747 0.1520 0.5747
Ag2 0.0000 0.0000 0.5000
Ag3 0.0000 0.5000 0.0000
Li8 0.1912 0.7294 0.1912
Li9 0.7294 0.1912 0.1912
Li10 0.4253 0.4253 0.8480
Al1 0.0000 0.0000 0.0000
Li11 0.2706 0.8088 0.8088
Li12 0.8088 0.2706 0.8088


[3]
DFT (PBE-GGA) results for HgBrF2 after structural relaxation.

Computed properties:
Polymorph energy (0 for the lowest one), eV per atom: 0.064
Uncorrected energy, eV per atom: -2.378
ΔE_f (raw), kcal/mol of atoms: -21.9
Density, g cm⁻³: 6.47

a b c (Å): 3.6636 8.2535 5.5413
angles (deg): 90.00 90.00 102.73
Atoms (fractional coordinates):
Hg1 0.6943 0.3881 0.2500
Br1 0.5022 0.0043 0.2500
F1 0.8199 0.6408 0.5009
Br2 0.4978 0.9957 0.7500
F2 0.8199 0.6408 0.9991
F3 0.1801 0.3592 0.4991
F4 0.1801 0.3592 0.0009
Hg2 0.3057 0.6119 0.7500


[4]
DFT (PBE-GGA) results for Cr2CuIr after structural relaxation.

Computed properties:
Uncorrected energy, eV per atom: -7.952
Energy of formation, kJ per mole of atoms: 9.5
Density, g cm⁻³: 11.43

a b c (Å): 4.5609 4.5609 4.5031
angles (deg): 76.20 76.20 35.20
Last column: magnetic moment on the atom in μB.
Atoms (fractional coordinates):
Cu1 0.4972 0.4972 0.5099  0.03
Cr1 0.0069 0.0069 0.0048  -1.73
Ir1 0.2586 0.2586 0.2382  0.05
Cr2 0.7372 0.7372 0.7471  2.03


[5]
DFT (PBE-GGA) results for ZrFe2 after structural relaxation.

Computed properties:
Uncorrected energy, eV per atom: -8.124
Energy of formation, kJ per mole of atoms: 35.4
Density, g cm⁻³: 6.94

a b c (Å): 6.1390 6.1390 4.4628
angles (deg): 90.00 90.00 120.00
Last column: magnetic moment on the atom in μB.
Atoms (fractional coordinates):
Fe1 0.2225 0.0000 0.0000  1.69
Fe2 0.0000 0.4900 0.5000  2.52
Zr1 0.6667 0.3333 0.0000  -0.43
Fe3 0.5100 0.5100 0.5000  2.52
Fe4 0.7775 0.7775 0.0000  1.69
Zr2 0.0000 0.0000 0.5000  -0.34
Zr3 0.3333 0.6667 0.0000  -0.43
Fe5 0.0000 0.2225 0.0000  1.69
Fe6 0.4900 0.0000 0.5000  2.52


[6]
DFT (PBE-GGA) results for GdLuGaOs after structural relaxation.

Computed properties:
Uncorrected energy, eV per atom: -8.579
Energy of formation, kJ per mole of atoms: -35.1
Density, g cm⁻³: 11.85

a b c (Å): 4.8962 4.8962 4.8962
angles (deg): 60.00 60.00 60.00
Last column: magnetic moment on the atom in μB.
Atoms (fractional coordinates):
Lu1 0.0000 0.0000 0.0000  0.01
Ga1 0.2500 0.2500 0.2500  -0.01
Os1 0.7500 0.7500 0.7500  -0.09
Gd1 0.5000 0.5000 0.5000  7.00